First-principles (PBE-GGA) data for an optimized crystal structure of Ac2NdAu, as listed in Alexandria.

Output
As for the crystal system: trigonal. The uncorrected energy comes out at -4.10 eV/atom. The value obtained for the formation energy is -0.130 eV/f.u. For the energy relative to the lowest polymorph listed for this composition, the calculation gives 322 meV/atom.

Lattice parameters (Å, degrees): 3.957 3.957 11.784 80.33 80.33 60.00
Fractional positions:
Nd 0.000 0.000 0.000
Ac 0.104 0.104 0.689
Ac 0.896 0.896 0.311
Au 0.500 0.500 0.500